[1]
This record from Alexandria describes crystalline Hf2FeCo3 at its relaxed geometry. The functional is GGA-PBE.

Lattice parameters (Å, degrees): 4.8271 4.8271 4.8271 61.59 61.59 61.59
With the nearest neighbours (Å) after each atom.
Fractional positions:
Hf 0.1268 0.1268 0.1268  9 Co 2.80-2.88, 3 Fe 2.89, 4 Hf 2.96-3.00
Hf 0.8732 0.8732 0.8732  9 Co 2.80-2.88, 3 Fe 2.89, 4 Hf 2.96-3.00
Fe 0.5000 0.5000 0.5000  6 Co 2.41
Co 0.0000 0.5000 0.5000  2 Fe 2.41, 4 Co 2.47
Co 0.5000 0.0000 0.5000  2 Fe 2.41, 4 Co 2.47
Co 0.5000 0.5000 0.0000  2 Fe 2.41, 4 Co 2.47

E above lowest polymorph	0.0	meV per atom

[2]
This record from Alexandria describes crystalline Hf2FeCo3 at its relaxed geometry. The functional is GGA-PBE.

Lattice parameters (Å, degrees): 5.4516 5.4516 5.4516 134.47 127.47 72.00
With the nearest neighbours (Å) after each atom.
Fractional positions:
Hf 0.1876 0.1876 0.0000  6 Co 2.46-2.68, 1 Fe 2.76
Hf 0.8124 0.8124 0.0000  6 Co 2.46-2.68, 1 Fe 2.76
Fe 0.5000 0.5000 0.0000  6 Co 2.41
Co 0.0000 0.5000 0.5000  2 Fe 2.41, 4 Hf 2.68
Co 0.3673 0.8673 0.5000  1 Co 2.34, 2 Fe 2.41, 2 Hf 2.46
Co 0.6327 0.1327 0.5000  1 Co 2.34, 2 Fe 2.41, 2 Hf 2.46

E above lowest polymorph	442.5	meV per atom

[3]
This record from Alexandria describes crystalline Hf8Fe2Co at its relaxed geometry. The functional is GGA-PBE.

Lattice parameters (Å, degrees): 8.4833 8.4833 5.9515 109.76 109.76 31.19
With the nearest neighbours (Å) after each atom.
Fractional positions:
Hf 0.0303 0.0303 0.2828  1 Fe 2.36
Hf 0.2010 0.2010 0.8382  1 Fe 2.58
Hf 0.3251 0.3251 0.4991  3 Fe 2.52-2.77
Hf 0.4067 0.4067 0.0327  1 Co 2.66, 2 Fe 2.78
Hf 0.5933 0.5933 0.9673  1 Co 2.66, 2 Fe 2.78
Hf 0.6749 0.6749 0.5009  3 Fe 2.52-2.77
Hf 0.7990 0.7990 0.1618  1 Fe 2.58
Hf 0.9697 0.9697 0.7172  1 Fe 2.36
Fe 0.1667 0.1667 0.2289  3 Hf 2.36-2.58
Fe 0.8333 0.8333 0.7711  3 Hf 2.36-2.58
Co 0.5000 0.5000 0.5000  8 Hf 2.66-2.86

[4]
This record from Alexandria describes crystalline Hf3Fe7Co2 at its relaxed geometry. The functional is GGA-PBE.

Lattice parameters (Å, degrees): 8.4715 8.4715 8.4715 33.34 33.34 33.34
With the nearest neighbours (Å) after each atom.
Fractional positions:
Hf 0.0000 0.0000 0.0000  6 Co 2.81
Hf 0.1414 0.1414 0.1414  12 Fe 2.80-2.94, 3 Hf 3.06
Hf 0.8586 0.8586 0.8586  12 Fe 2.80-2.94, 3 Hf 3.06
Fe 0.0802 0.5854 0.5854  5 Fe 2.41-2.46, 2 Co 2.44-2.46
Fe 0.4146 0.4146 0.9198  5 Fe 2.41-2.46, 2 Co 2.44-2.46
Fe 0.4146 0.9198 0.4146  5 Fe 2.41-2.46, 2 Co 2.44-2.46
Fe 0.5000 0.5000 0.5000  6 Fe 2.44
Fe 0.5854 0.0802 0.5854  5 Fe 2.41-2.46, 2 Co 2.44-2.46
Fe 0.5854 0.5854 0.0802  5 Fe 2.41-2.46, 2 Co 2.44-2.46
Fe 0.9198 0.4146 0.4146  5 Fe 2.41-2.46, 2 Co 2.44-2.46
Co 0.3334 0.3334 0.3334  6 Fe 2.44-2.46
Co 0.6666 0.6666 0.6666  6 Fe 2.44-2.46

Number 1: energy of formation from the pure elements -2.215 eV per formula unit, density of states at the Fermi level 6.93 states/eV per cell. Number 2: energy of formation from the pure elements 0.439 eV per formula unit, density of states at the Fermi level 4.97 states/eV per cell. Number 3: energy of formation from the pure elements -1.192 eV per formula unit, density of states at the Fermi level 11.42 states/eV per cell. Number 4: energy of formation from the pure elements -3.060 eV per formula unit, density of states at the Fermi level 11.74 states/eV per cell.